Density functional theory data (GGA-PBE) for a relaxed structure of Ca2InSeF.

```
data_Ca2InSeF
_chemical_formula_sum 'Ca2 In1 Se1 F1'
_cell_length_a 5.514
_cell_length_b 5.514
_cell_length_c 6.136
_cell_angle_alpha 90.00
_cell_angle_beta 90.00
_cell_angle_gamma 90.00
_symmetry_space_group_name_H-M 'P 4/m m m'
_symmetry_Int_Tables_number 123
_symmetry_space_group_name_Hall '-P 4 2'
loop_
_atom_site_label
_atom_site_type_symbol
_atom_site_fract_x
_atom_site_fract_y
_atom_site_fract_z
Ca1 Ca 0.000 0.500 0.000
In1 In 0.000 0.000 0.500
Se1 Se 0.000 0.000 0.000
F1 F 0.500 0.500 0.500
```

- Volume: 37.310 Å³ per atom
- Crystal system: tetragonal
- Raw total energy: -3.194 eV/atom
- DOS(E_F): 1.89 states/eV/cell